Mg2ScBr | GGA-PBEsol | optimized geometry

Values from the calculation:
Fermi-level density of states, states/eV per atom: 0.970
Excess energy over the best structure of this formula in the dataset, meV per atom: 300
Energy relative to the elements, uncorrected, eV/atom: -0.100
Total DFT energy (no corrections), eV per cell: -24.62
Theoretical density, g/cm³: 2.99
Spin magnetization, μB/f.u.: 0.0

Cell lengths 5.727, 6.472, 6.472 Å; angles 78.71, 63.74, 63.74 degrees
Fractional positions:
Sc1 0.500 0.000 0.000
Mg1 0.095 0.030 0.530
Mg2 0.375 0.530 0.970
Mg3 0.875 0.470 0.030
Br1 0.750 0.500 0.500
Sc2 0.250 0.500 0.500
Mg4 0.655 0.970 0.470
Br2 0.000 0.000 0.000